Material: KCd3Cl7
Method: DFT, GGA-PBE
State: relaxed

Properties
Space-group type: C2/m (12)
Calculated volume, Å³/atom: 30.0
ΔE_f (raw), eV/atom: -1.211

abc: 7.112 6.740 7.112
angles: 97.74 79.58 97.74
Fractional positions:
Cl  0.859  0.790  0.859
Cl  0.082  0.283  0.663
Cl  0.500  0.000  0.500
Cl  0.141  0.210  0.141
Cl  0.918  0.717  0.337
Cl  0.337  0.717  0.918
Cl  0.663  0.283  0.082
Cd  0.208  0.000  0.792
Cd  0.000  0.500  0.000
Cd  0.792  0.000  0.208
K  0.500  0.500  0.500

Material: Rb3Li2ScCl9
Method: DFT, GGA-PBE
State: relaxed

Properties
Space-group type: P-3m1 (164)
Calculated volume, Å³/atom: 26.6
ΔE_f (raw), eV/atom: -1.806

abc: 7.162 7.162 8.990
angles: 90.00 90.00 120.00
Site moments in Bohr magnetons follow the coordinates.
Fractional positions:
Cl  0.164  0.328  0.339  0.02
Cl  0.836  0.164  0.661  0.02
Cl  0.328  0.164  0.661  0.02
Cl  0.500  0.000  0.000  0.19
Cl  0.672  0.836  0.339  0.02
Cl  0.164  0.836  0.339  0.02
Cl  0.500  0.500  0.000  0.19
Cl  0.836  0.672  0.661  0.02
Cl  0.000  0.500  0.000  0.19
Li  0.333  0.667  0.156  0.00
Li  0.667  0.333  0.844  0.00
Sc  0.000  0.000  0.500  0.00
Rb  0.333  0.667  0.674  0.00
Rb  0.667  0.333  0.326  0.00
Rb  0.000  0.000  0.000  0.00

Material: Tb4Ho5Tm2
Method: DFT, GGA-PBE
State: relaxed

Properties
Space-group type: C2/m (12)
Calculated volume, Å³/atom: 31.5
Energy of formation, eV per atom: 0.13

abc: 7.317 6.568 9.871
angles: 63.14 68.24 56.15
Fractional positions:
Ho  0.792  0.638  0.221
Ho  0.208  0.362  0.779
Ho  0.000  0.500  0.500
Ho  0.651  0.362  0.779
Ho  0.349  0.638  0.221
Tb  0.316  0.870  0.498
Tb  0.670  0.781  0.880
Tb  0.330  0.219  0.120
Tb  0.684  0.130  0.502
Tm  0.857  0.165  0.122
Tm  0.143  0.835  0.878